DFT (PBE-GGA) results for a relaxed structure of CePuRh2.

Cell: 6.4189 6.4189 6.4189 Å, 37.80 37.80 37.80°
Fractional positions:
1 Ce 0.0000 0.0000 0.0000
2 Pu 0.5000 0.5000 0.5000
3 Rh 0.2418 0.2418 0.2418
4 Rh 0.7582 0.7582 0.7582

Output
Total magnetic moment, μB per atom: 1.26
Symmetry: No. 166
Energy of formation from the pure elements, eV per atom: -0.507